Entry P
# Y2Ho7Er3 (PBE, optimized geometry)
data_Y2Ho7Er3
_symmetry_space_group_name_H-M 'P 1'
_symmetry_Int_Tables_number 1
_symmetry_space_group_name_Hall 'P 1'
_cell_length_a 6.280
_cell_length_b 3.492
_cell_length_c 17.284
_cell_angle_alpha 90.00
_cell_angle_beta 96.23
_cell_angle_gamma 90.00
loop_
_atom_site_label
_atom_site_type_symbol
_atom_site_fract_x
_atom_site_fract_y
_atom_site_fract_z
Y1 Y 0.061 0.000 0.173
Y2 Y 0.939 0.000 0.827
Ho1 Ho 0.000 0.500 0.500
Ho2 Ho 0.226 0.000 0.668
Ho3 Ho 0.256 0.000 0.999
Ho4 Ho 0.275 0.500 0.335
Ho5 Ho 0.725 0.500 0.665
Ho6 Ho 0.744 0.000 0.001
Ho7 Ho 0.774 0.000 0.332
Er1 Er 0.448 0.500 0.843
Er2 Er 0.500 0.000 0.500
Er3 Er 0.552 0.500 0.157
# * N(E_F): 17.9 states/eV/cell
# * total magnetic moment: 0.000 μB/f.u.
# * SG: P2/m

---

Entry Q
# Y2Ho7Er3 (PBE, optimized geometry)
data_Y2Ho7Er3
_symmetry_space_group_name_H-M 'P 1'
_symmetry_Int_Tables_number 1
_symmetry_space_group_name_Hall 'P 1'
_cell_length_a 18.941
_cell_length_b 18.941
_cell_length_c 3.570
_cell_angle_alpha 90.00
_cell_angle_beta 90.00
_cell_angle_gamma 162.86
loop_
_atom_site_label
_atom_site_type_symbol
_atom_site_fract_x
_atom_site_fract_y
_atom_site_fract_z
Y1 Y 0.148 0.852 0.000
Y2 Y 0.852 0.148 0.000
Ho1 Ho 0.000 0.000 0.000
Ho2 Ho 0.071 0.929 0.500
Ho3 Ho 0.231 0.769 0.000
Ho4 Ho 0.408 0.592 0.000
Ho5 Ho 0.592 0.408 0.000
Ho6 Ho 0.769 0.231 0.000
Ho7 Ho 0.929 0.071 0.500
Er1 Er 0.315 0.685 0.500
Er2 Er 0.500 0.500 0.500
Er3 Er 0.685 0.315 0.500
# * N(E_F): 18.4 states/eV/cell
# * total magnetic moment: 0.000 μB/f.u.
# * SG: Cmmm

---

Which of them is the least stable? Correct choice: entry Q.